Record 1
# Ba2YIn, optimized geometry, DFT PBE-GGA
data_Ba2YIn
_chemical_formula_sum 'Ba6 Y3 In3'
_cell_length_a 3.9921
_cell_length_b 3.9921
_cell_length_c 36.6743
_cell_angle_alpha 90.00
_cell_angle_beta 90.00
_cell_angle_gamma 120.00
_space_group_name_H-M_alt 'R -3 m'
_space_group_IT_number 166
_space_group_name_Hall '-R 3 2"'
loop_
_atom_site_label
_atom_site_type_symbol
_atom_site_fract_x
_atom_site_fract_y
_atom_site_fract_z
_atom_site_occupancy
Ba1 Ba 0.0000 0.0000 0.2436 1
Y1 Y 0.0000 0.0000 0.0000 1
In1 In 0.0000 0.0000 0.5000 1
# Raw total energy, eV/atom: -3.1793



Record 2
# BaYIn4, optimized geometry, DFT PBE-GGA
data_BaYIn4
_chemical_formula_sum 'Ba4 Y4 In16'
_cell_length_a 8.818
_cell_length_b 8.818
_cell_length_c 8.818
_cell_angle_alpha 90.00
_cell_angle_beta 90.00
_cell_angle_gamma 90.00
_space_group_name_H-M_alt 'F -4 3 m'
_space_group_IT_number 216
_space_group_name_Hall 'F -4 2 3'
loop_
_atom_site_label
_atom_site_type_symbol
_atom_site_fract_x
_atom_site_fract_y
_atom_site_fract_z
_atom_site_occupancy
Ba1 Ba 0.000 0.000 0.000 1
Y1 Y 0.250 0.250 0.250 1
In1 In 0.125 0.125 0.625 1
# Raw total energy, eV/atom: -3.5462



Record 3
# Ba2YIn, optimized geometry, DFT PBE-GGA
data_Ba2YIn
_chemical_formula_sum 'Ba4 Y2 In2'
_cell_length_a 4.087
_cell_length_b 6.250
_cell_length_c 13.143
_cell_angle_alpha 90.00
_cell_angle_beta 90.00
_cell_angle_gamma 90.00
_space_group_name_H-M_alt 'I m m 2'
_space_group_IT_number 44
loop_
_space_group_symop_operation_xyz
'x,y,z'
'-x,-y,z'
'-x,y,z'
'x,-y,z'
'x+1/2,y+1/2,z+1/2'
'-x+1/2,-y+1/2,z+1/2'
'-x+1/2,y+1/2,z+1/2'
'x+1/2,-y+1/2,z+1/2'
loop_
_atom_site_label
_atom_site_type_symbol
_atom_site_fract_x
_atom_site_fract_y
_atom_site_fract_z
_atom_site_occupancy
Ba1 Ba 0.000 0.000 0.000 1
Ba2 Ba 0.000 0.500 0.203 1
Y1 Y 0.000 0.500 0.789 1
In1 In 0.000 0.000 0.470 1
# Raw total energy, eV/atom: -3.3745



Record 4
# BaYIn2, optimized geometry, DFT PBE-GGA
data_BaYIn2
_chemical_formula_sum 'Ba2 Y2 In4'
_cell_length_a 4.861
_cell_length_b 4.861
_cell_length_c 10.908
_cell_angle_alpha 90.00
_cell_angle_beta 90.00
_cell_angle_gamma 90.00
_space_group_name_H-M_alt 'I -4 m 2'
_space_group_IT_number 119
_space_group_name_Hall 'I -4 -2'
loop_
_atom_site_label
_atom_site_type_symbol
_atom_site_fract_x
_atom_site_fract_y
_atom_site_fract_z
_atom_site_occupancy
Ba1 Ba 0.000 0.000 0.000 1
Y1 Y 0.000 0.500 0.250 1
In1 In 0.000 0.000 0.500 1
In2 In 0.000 0.500 0.750 1
# Raw total energy, eV/atom: -3.6213



Record 5
# BaY2In, optimized geometry, DFT PBE-GGA
data_BaY2In
_chemical_formula_sum 'Ba1 Y2 In1'
_cell_length_a 3.894
_cell_length_b 3.894
_cell_length_c 9.445
_cell_angle_alpha 90.00
_cell_angle_beta 90.00
_cell_angle_gamma 90.00
_space_group_name_H-M_alt 'P 4 m m'
_space_group_IT_number 99
loop_
_space_group_symop_operation_xyz
'x,y,z'
'-y,x,z'
'-x,-y,z'
'y,-x,z'
'-x,y,z'
'y,x,z'
'x,-y,z'
'-y,-x,z'
loop_
_atom_site_label
_atom_site_type_symbol
_atom_site_fract_x
_atom_site_fract_y
_atom_site_fract_z
_atom_site_occupancy
Ba1 Ba 0.000 0.000 0.000 1
Y1 Y 0.000 0.000 0.434 1
Y2 Y 0.500 0.500 0.664 1
In1 In 0.500 0.500 0.259 1
# Raw total energy, eV/atom: -4.5348



Record 6
# Ba3YIn, optimized geometry, DFT PBE-GGA
data_Ba3YIn
_chemical_formula_sum 'Ba3 Y1 In1'
_cell_length_a 6.464
_cell_length_b 6.464
_cell_length_c 6.464
_cell_angle_alpha 90.00
_cell_angle_beta 90.00
_cell_angle_gamma 90.00
_space_group_name_H-M_alt 'P m -3 m'
_space_group_IT_number 221
_space_group_name_Hall '-P 4 2 3'
loop_
_atom_site_label
_atom_site_type_symbol
_atom_site_fract_x
_atom_site_fract_y
_atom_site_fract_z
_atom_site_occupancy
Ba1 Ba 0.000 0.000 0.500 1
Y1 Y 0.000 0.000 0.000 1
In1 In 0.500 0.500 0.500 1
# Raw total energy, eV/atom: -2.3936
# Distance to the lowest polymorph of the same formula, meV per atom: 248.0



Record 7
# BaY2In, optimized geometry, DFT PBE-GGA
data_BaY2In
_chemical_formula_sum 'Ba1 Y2 In1'
_cell_length_a 4.069
_cell_length_b 5.631
_cell_length_c 5.891
_cell_angle_alpha 90.00
_cell_angle_beta 90.00
_cell_angle_gamma 90.00
_space_group_name_H-M_alt 'P m m m'
_space_group_IT_number 47
loop_
_space_group_symop_operation_xyz
'x,y,z'
'-x,-y,-z'
'-x,-y,z'
'x,y,-z'
'x,-y,-z'
'-x,y,z'
'-x,y,-z'
'x,-y,z'
loop_
_atom_site_label
_atom_site_type_symbol
_atom_site_fract_x
_atom_site_fract_y
_atom_site_fract_z
_atom_site_occupancy
Ba1 Ba 0.000 0.000 0.000 1
Y1 Y 0.000 0.500 0.500 1
Y2 Y 0.500 0.500 0.000 1
In1 In 0.500 0.000 0.500 1
# Raw total energy, eV/atom: -4.3896



Record 8
# BaY2In, optimized geometry, DFT PBE-GGA
data_BaY2In
_chemical_formula_sum 'Ba2 Y4 In2'
_cell_length_a 5.208
_cell_length_b 5.208
_cell_length_c 9.707
_cell_angle_alpha 90.00
_cell_angle_beta 90.00
_cell_angle_gamma 90.00
_space_group_name_H-M_alt 'I 4/m m m'
_space_group_IT_number 139
_space_group_name_Hall '-I 4 2'
loop_
_atom_site_label
_atom_site_type_symbol
_atom_site_fract_x
_atom_site_fract_y
_atom_site_fract_z
_atom_site_occupancy
Ba1 Ba 0.000 0.000 0.000 1
Y1 Y 0.000 0.500 0.250 1
In1 In 0.000 0.000 0.500 1
# Raw total energy, eV/atom: -4.3640



Record 9
# Ba3YIn, optimized geometry, DFT PBE-GGA
data_Ba3YIn
_chemical_formula_sum 'Ba3 Y1 In1'
_cell_length_a 6.649
_cell_length_b 6.649
_cell_length_c 6.649
_cell_angle_alpha 90.00
_cell_angle_beta 90.00
_cell_angle_gamma 90.00
_space_group_name_H-M_alt 'P m -3 m'
_space_group_IT_number 221
_space_group_name_Hall '-P 4 2 3'
loop_
_atom_site_label
_atom_site_type_symbol
_atom_site_fract_x
_atom_site_fract_y
_atom_site_fract_z
_atom_site_occupancy
Ba1 Ba 0.000 0.000 0.500 1
Y1 Y 0.500 0.500 0.500 1
In1 In 0.000 0.000 0.000 1
# Raw total energy, eV/atom: -2.6416
# Distance to the lowest polymorph of the same formula, meV per atom: 0.0



Record 10
# BaY2In, optimized geometry, DFT PBE-GGA
data_BaY2In
_chemical_formula_sum 'Ba2 Y4 In2'
_cell_length_a 7.188
_cell_length_b 12.051
_cell_length_c 3.590
_cell_angle_alpha 90.00
_cell_angle_beta 118.36
_cell_angle_gamma 90.00
_space_group_name_H-M_alt 'C 1 2/m 1'
_space_group_IT_number 12
loop_
_space_group_symop_operation_xyz
'x,y,z'
'-x,-y,-z'
'-x,y,-z'
'x,-y,z'
'x+1/2,y+1/2,z'
'-x+1/2,-y+1/2,-z'
'-x+1/2,y+1/2,-z'
'x+1/2,-y+1/2,z'
loop_
_atom_site_label
_atom_site_type_symbol
_atom_site_fract_x
_atom_site_fract_y
_atom_site_fract_z
_atom_site_occupancy
Ba1 Ba 0.000 0.000 0.000 1
Y1 Y 0.250 0.250 0.500 1
In1 In 0.000 0.500 0.000 1
# Raw total energy, eV/atom: -4.3535



Record 11
# BaYIn2, optimized geometry, DFT PBE-GGA
data_BaYIn2
_chemical_formula_sum 'Ba1 Y1 In2'
_cell_length_a 3.818
_cell_length_b 5.384
_cell_length_c 6.247
_cell_angle_alpha 90.00
_cell_angle_beta 90.15
_cell_angle_gamma 90.00
_space_group_name_H-M_alt 'P 1 m 1'
_space_group_IT_number 6
loop_
_space_group_symop_operation_xyz
'x,y,z'
'x,-y,z'
loop_
_atom_site_label
_atom_site_type_symbol
_atom_site_fract_x
_atom_site_fract_y
_atom_site_fract_z
_atom_site_occupancy
Ba1 Ba 0.000 0.000 0.000 1
Y1 Y 0.997 0.500 0.415 1
In1 In 0.498 0.000 0.499 1
In2 In 0.500 0.500 0.832 1
# Raw total energy, eV/atom: -3.7748



Record 12
# BaY2In, optimized geometry, DFT PBE-GGA
data_BaY2In
_chemical_formula_sum 'Ba1 Y2 In1'
_cell_length_a 3.770
_cell_length_b 5.400
_cell_length_c 7.059
_cell_angle_alpha 90.00
_cell_angle_beta 103.83
_cell_angle_gamma 90.00
_space_group_name_H-M_alt 'P 1 2/m 1'
_space_group_IT_number 10
loop_
_space_group_symop_operation_xyz
'x,y,z'
'-x,-y,-z'
'-x,y,-z'
'x,-y,z'
loop_
_atom_site_label
_atom_site_type_symbol
_atom_site_fract_x
_atom_site_fract_y
_atom_site_fract_z
_atom_site_occupancy
Ba1 Ba 0.000 0.000 0.000 1
Y1 Y 0.325 0.500 0.710 1
In1 In 0.500 0.000 0.500 1
# Raw total energy, eV/atom: -4.4219



Record 13
# BaYIn2, optimized geometry, DFT PBE-GGA
data_BaYIn2
_chemical_formula_sum 'Ba1 Y1 In2'
_cell_length_a 3.967
_cell_length_b 3.967
_cell_length_c 8.189
_cell_angle_alpha 90.00
_cell_angle_beta 90.00
_cell_angle_gamma 90.00
_space_group_name_H-M_alt 'P 4/m m m'
_space_group_IT_number 123
_space_group_name_Hall '-P 4 2'
loop_
_atom_site_label
_atom_site_type_symbol
_atom_site_fract_x
_atom_site_fract_y
_atom_site_fract_z
_atom_site_occupancy
Ba1 Ba 0.000 0.000 0.000 1
Y1 Y 0.000 0.000 0.500 1
In1 In 0.500 0.500 0.294 1
# Raw total energy, eV/atom: -3.9110



Record 14
# BaYIn2, optimized geometry, DFT PBE-GGA
data_BaYIn2
_chemical_formula_sum 'Ba2 Y2 In4'
_cell_length_a 7.407
_cell_length_b 9.534
_cell_length_c 3.551
_cell_angle_alpha 90.00
_cell_angle_beta 90.00
_cell_angle_gamma 90.00
_space_group_name_H-M_alt 'C m m m'
_space_group_IT_number 65
_space_group_name_Hall '-C 2 2'
loop_
_atom_site_label
_atom_site_type_symbol
_atom_site_fract_x
_atom_site_fract_y
_atom_site_fract_z
_atom_site_occupancy
Ba1 Ba 0.000 0.000 0.000 1
Y1 Y 0.000 0.500 0.000 1
In1 In 0.250 0.250 0.500 1
# Raw total energy, eV/atom: -3.7792